The following is a DFT calculation (PBE) of a geometry-optimized Si2AgTe structure.

ΔE_f (raw) = 14.05 kcal/mol of atoms
Polymorph energy (0 for the lowest one) = 355.8 meV/atom

The structure in CIF format:
```
data_Si2AgTe
_cell_length_a 4.727
_cell_length_b 4.727
_cell_length_c 3.621
_cell_angle_alpha 90.00
_cell_angle_beta 90.00
_cell_angle_gamma 90.00
_symmetry_space_group_name_H-M 'P 4/m m m'
_symmetry_Int_Tables_number 123
_symmetry_space_group_name_Hall '-P 4 2'
loop_
_atom_site_label
_atom_site_fract_x
_atom_site_fract_y
_atom_site_fract_z
_atom_site_occupancy
Si1 0.000 0.500 0.000 1
Ag1 0.000 0.000 0.500 1
Te1 0.500 0.500 0.500 1
```